A relaxed structure of LiDyPd2. Source: Alexandria, functional PBE.

The structure in CIF format:
```
data_LiDyPd2
_chemical_formula_sum 'Li1 Dy1 Pd2'
_cell_length_a 3.4564
_cell_length_b 3.4564
_cell_length_c 5.9917
_cell_angle_alpha 90.00
_cell_angle_beta 90.00
_cell_angle_gamma 90.00
_space_group_name_H-M_alt 'P 4/m m m'
_space_group_IT_number 123
_space_group_name_Hall '-P 4 2'
loop_
_atom_site_label
_atom_site_type_symbol
_atom_site_fract_x
_atom_site_fract_y
_atom_site_fract_z
_atom_site_occupancy
Li1 Li 0.0000 0.0000 0.0000 1
Dy1 Dy 0.0000 0.0000 0.5000 1
Pd1 Pd 0.5000 0.5000 0.2321 1
```

## Properties
Formation enthalpy at 0 K: -69.5 kJ per mole of atoms
DOS(E_F): 0.84 states/eV per cell